[1]
VASP calculation (GGA-PBE) on an optimized crystal structure of HoPuRh.

a b c (Å): 4.7873 4.7873 4.7873
angles (deg): 60.00 60.00 60.00
Closest atoms and distances in Å follow each position.
Positions (direct):
Ho: 0.0000 0.0000 0.0000  4 Rh 2.93
Pu: 0.5000 0.5000 0.5000  4 Rh 2.93
Rh: 0.2500 0.2500 0.2500  4 Ho 2.93, 4 Pu 2.93

## Properties
**E above lowest polymorph**: 134 meV per atom

***

[2]
VASP calculation (GGA-PBE) on an optimized crystal structure of HoPuRh.

a b c (Å): 3.7698 4.4245 8.1423
angles (deg): 90.00 90.00 90.00
Closest atoms and distances in Å follow each position.
Positions (direct):
Ho: 0.2500 0.2500 0.1387  5 Rh 2.85-2.97
Ho: 0.7500 0.7500 0.8613  5 Rh 2.85-2.97
Pu: 0.2500 0.7500 0.4751  2 Rh 2.85, 4 Pu 2.93
Pu: 0.7500 0.2500 0.5249  2 Rh 2.85, 4 Pu 2.93
Rh: 0.2500 0.2500 0.7881  2 Pu 2.85, 5 Ho 2.85-2.97
Rh: 0.7500 0.7500 0.2119  2 Pu 2.85, 5 Ho 2.85-2.97

## Properties
**E above lowest polymorph**: 0 meV per atom

***

[3]
VASP calculation (GGA-PBE) on an optimized crystal structure of Ho2PuRh2.

a b c (Å): 5.6244 4.2142 10.3196
angles (deg): 90.00 96.12 90.00
Closest atoms and distances in Å follow each position.
Positions (direct):
Ho: 0.1125 0.2500 0.3779  5 Rh 2.81-3.09
Ho: 0.2507 0.2500 0.0371  4 Rh 2.82-3.10
Ho: 0.7493 0.7500 0.9629  4 Rh 2.82-3.10
Ho: 0.8875 0.7500 0.6221  5 Rh 2.81-3.09
Pu: 0.3983 0.2500 0.7093  5 Rh 2.76-3.04
Pu: 0.6017 0.7500 0.2907  5 Rh 2.76-3.04
Rh: 0.2433 0.7500 0.8552  2 Pu 2.78, 5 Ho 2.82-3.10
Rh: 0.3436 0.7500 0.5352  3 Pu 2.76-3.04, 4 Ho 2.81-3.09, 2 Rh 2.89
Rh: 0.6564 0.2500 0.4648  3 Pu 2.76-3.04, 4 Ho 2.81-3.09, 2 Rh 2.89
Rh: 0.7567 0.2500 0.1448  2 Pu 2.78, 5 Ho 2.82-3.10

***

[4]
VASP calculation (GGA-PBE) on an optimized crystal structure of Ho4PuRh5.

a b c (Å): 3.3799 3.3799 17.4294
angles (deg): 90.00 90.00 90.00
Closest atoms and distances in Å follow each position.
Positions (direct):
Ho: 0.0000 0.0000 0.0994  8 Rh 2.95
Ho: 0.0000 0.0000 0.2984  8 Rh 2.95-2.96
Ho: 0.0000 0.0000 0.7016  8 Rh 2.95-2.96
Ho: 0.0000 0.0000 0.9006  8 Rh 2.95
Pu: 0.0000 0.0000 0.5000  8 Rh 2.99
Rh: 0.5000 0.5000 0.0000  8 Ho 2.95
Rh: 0.5000 0.5000 0.1984  8 Ho 2.95-2.96
Rh: 0.5000 0.5000 0.3972  4 Ho 2.95, 4 Pu 2.99
Rh: 0.5000 0.5000 0.6028  4 Ho 2.95, 4 Pu 2.99
Rh: 0.5000 0.5000 0.8016  8 Ho 2.95-2.96

***

[5]
VASP calculation (GGA-PBE) on an optimized crystal structure of Ho2PuRh4.

a b c (Å): 5.3075 5.3075 7.2662
angles (deg): 94.91 94.91 42.78
Closest atoms and distances in Å follow each position.
Positions (direct):
Ho: 0.1468 0.1468 0.1642  7 Rh 2.79-3.00
Ho: 0.8532 0.8532 0.8358  7 Rh 2.79-3.00
Pu: 0.5000 0.5000 0.5000  6 Rh 2.62-2.72
Rh: 0.1828 0.1828 0.6091  2 Pu 2.72, 4 Rh 2.90-2.92, 2 Ho 2.96
Rh: 0.4276 0.4276 0.1442  1 Pu 2.62, 3 Rh 2.64-2.92, 3 Ho 2.79-2.90
Rh: 0.5724 0.5724 0.8558  1 Pu 2.62, 3 Rh 2.64-2.92, 3 Ho 2.79-2.90
Rh: 0.8172 0.8172 0.3909  2 Pu 2.72, 4 Rh 2.90-2.92, 2 Ho 2.96

***

[6]
VASP calculation (GGA-PBE) on an optimized crystal structure of Ho2PuRh3.

a b c (Å): 3.4008 3.4008 10.3606
angles (deg): 90.00 90.00 90.00
Closest atoms and distances in Å follow each position.
Positions (direct):
Ho: 0.0000 0.0000 0.1653  8 Rh 2.95
Ho: 0.0000 0.0000 0.8347  8 Rh 2.95
Pu: 0.0000 0.0000 0.5000  8 Rh 2.98
Rh: 0.5000 0.5000 0.0000  8 Ho 2.95
Rh: 0.5000 0.5000 0.3300  4 Ho 2.95, 4 Pu 2.98
Rh: 0.5000 0.5000 0.6700  4 Ho 2.95, 4 Pu 2.98

***

The calculation returns the following E values, one per record and in order: -27.26, -55.32, -82.04, -77.30, -57.22, -49.85 eV per cell.
The calculation returns the following size of the total moment values, one per record and in order: 1.945, 1.874, 1.064, 0.496, 0.572, 0.834 μB/atom.
The calculation returns the following formation energy from the elements values, one per record and in order: -0.33, -0.47, -0.57, -0.79, -0.62, -0.72 eV/atom.